No. 1
Compound: Na3Tm3RuO8
Source: Alexandria via LeMat-Bulk
Functional: PBE
Structure: relaxed

The formation energy from raw total energies comes out at -2.46 eV per atom.

It has space group R-3m (No. 166, hexagonal axes), with a = 6.5853 Å, b = 6.5853 Å, c = 16.6517 Å, α = 90.00°, β = 90.00° and γ = 120.00°. The asymmetric unit holds Na at (0.0000, 0.5000, 0.0000), Tm at (0.0000, 0.5000, 0.5000), Ru at (0.0000, 0.0000, 0.5000), O at (0.0000, 0.0000, 0.2358) and O at (0.0242, 0.5121, 0.2329).

***

No. 2
Compound: Na4Tm3RuO8
Source: Alexandria via LeMat-Bulk
Functional: PBE
Structure: relaxed

The formation energy from raw total energies comes out at -2.38 eV per atom.

It has space group R-3m (No. 166, hexagonal axes), with a = 6.5570 Å, b = 6.5570 Å, c = 16.6663 Å, α = 90.00°, β = 90.00° and γ = 120.00°. The asymmetric unit holds Na at (0.0000, 0.0000, 0.0000), Na at (0.0000, 0.5000, 0.0000), Tm at (0.0000, 0.5000, 0.5000), Ru at (0.0000, 0.0000, 0.5000), O at (0.0000, 0.0000, 0.2366) and O at (0.0092, 0.5046, 0.2375).

***

No. 3
Compound: NaURuO6
Source: Alexandria via LeMat-Bulk
Functional: PBE
Structure: relaxed

The formation energy from raw total energies comes out at -1.96 eV per atom.

It has space group P-31c (No. 163), with a = 5.3353 Å, b = 5.3353 Å, c = 9.3303 Å, α = 90.00°, β = 90.00° and γ = 120.00°. The asymmetric unit holds Na at (0.3333, 0.6667, 0.2500), U at (0.0000, 0.0000, 0.0000), Ru at (0.3333, 0.6667, 0.7500) and O at (0.0547, 0.3497, 0.6262).

***

No. 4
Compound: Na2URuO6
Source: Alexandria via LeMat-Bulk
Functional: PBE
Structure: relaxed

The formation energy from raw total energies comes out at -2.01 eV per atom.

It has space group P4mm (No. 99), with a = 5.750 Å, b = 5.750 Å, c = 4.089 Å, α = 90.00°, β = 90.00° and γ = 90.00°. The asymmetric unit holds Na at (0.000, 0.500, 0.000), U at (0.000, 0.000, 0.505), Ru at (0.500, 0.500, 0.505), O at (0.000, 0.000, 0.005), O at (0.253, 0.253, 0.506) and O at (0.500, 0.500, 0.005).

***

So what do the calculations give for raw total energy? Going down the list: -309.70 -317.25 -138.50 -73.02 eV for the cell shown.